# 1
Ba2Ac2In3 | PBE-GGA | relaxed

Unit cell a=4.198 b=4.111 c=16.565 alpha=90.00 beta=82.72 gamma=90.00
Fractional coordinates of all 7 atoms:
1 In 0.879 0.000 0.243
2 In 0.000 0.000 0.000
3 In 0.121 0.000 0.757
4 Ac 0.562 0.500 0.876
5 Ac 0.438 0.500 0.124
6 Ba 0.312 0.500 0.376
7 Ba 0.688 0.500 0.624

Output
Crystal system ... orthorhombic
ΔE to the lowest computed polymorph ... 0 meV per atom
SG ... Cmmm (65)



# 2
BaAc2In6 | PBE-GGA | relaxed

Unit cell a=4.348 b=8.791 c=8.791 alpha=120.00 beta=90.00 gamma=90.00
Fractional coordinates of all 9 atoms:
1 In 0.500 0.336 0.336
2 In 0.500 0.336 0.000
3 In 0.500 0.000 0.336
4 In 0.500 0.664 0.664
5 In 0.500 0.000 0.664
6 In 0.500 0.664 0.000
7 Ba 0.000 0.000 0.000
8 Ac 0.000 0.333 0.667
9 Ac 0.000 0.667 0.333

Output
Crystal system ... hexagonal
SG ... P6/mmm (191)



# 3
BaAc2In2 | PBE-GGA | relaxed

Unit cell a=3.916 b=3.876 c=13.069 alpha=81.47 beta=90.00 gamma=90.00
Fractional coordinates of all 5 atoms:
1 In 0.500 0.597 0.805
2 In 0.500 0.403 0.195
3 Ac 0.000 0.820 0.360
4 Ac 0.000 0.180 0.640
5 Ba 0.000 0.000 0.000

Output
Crystal system ... orthorhombic
ΔE to the lowest computed polymorph ... 31 meV per atom
SG ... Cmmm (65)



# 4
BaAc2In2 | PBE-GGA | relaxed

Unit cell a=7.678 b=9.475 c=10.205 alpha=71.77 beta=67.32 gamma=35.83
Fractional coordinates of all 10 atoms:
1 In 0.674 0.250 0.248
2 In 0.929 0.750 0.758
3 In 0.071 0.250 0.242
4 In 0.326 0.750 0.752
5 Ba 0.831 0.750 0.325
6 Ba 0.169 0.250 0.675
7 Ac 0.486 0.750 0.025
8 Ac 0.514 0.250 0.975
9 Ac 0.297 0.750 0.398
10 Ac 0.703 0.250 0.602

Output
Crystal system ... monoclinic
ΔE to the lowest computed polymorph ... 0 meV per atom
SG ... P2_1/m (11)



Values for E_form, eV/atom, ordered as above
-0.3460 -0.4162 -0.2300 -0.2611
Values for energy, eV/atom, ordered as above
-3.24 -3.37 -3.35 -3.38